## one
The following is a PBE calculation of Pr2ScAl after structural relaxation, from Alexandria via LeMat-Bulk.

Properties
space-group type	R-3m (166)

Cell: 3.428 3.428 12.028 Å, 81.81 81.81 60.00°
Fractional positions:
Al1 0.000 0.000 0.000
Pr1 0.089 0.089 0.734
Pr2 0.911 0.911 0.266
Sc1 0.500 0.500 0.500

## two
The following is a PBE calculation of Pr2ScAl after structural relaxation, from Alexandria via LeMat-Bulk.

Properties
space-group type	P4/mmm (123)

Cell: 4.758 4.806 4.806 Å, 90.00 90.00 90.00°
Fractional positions:
Al1 0.500 0.500 0.500
Pr1 0.000 0.500 0.000
Sc1 0.500 0.000 0.000
Pr2 0.000 0.000 0.500

Least stable: one

## one
The following is a PBE calculation of Pr2ScAl after structural relaxation, from Alexandria via LeMat-Bulk.

Properties
space-group type	P4/mmm (123)

Cell: 4.028 4.028 6.923 Å, 90.00 90.00 90.00°
Fractional positions:
Pr1 0.000 0.000 0.763
Sc1 0.500 0.500 0.500
Pr2 0.000 0.000 0.237
Al1 0.500 0.500 0.000

## two
The following is a PBE calculation of Pr2ScAl after structural relaxation, from Alexandria via LeMat-Bulk.

Properties
space-group type	Fm-3m (225)

Cell: 5.395 5.395 5.395 Å, 60.00 60.00 60.00°
Fractional positions:
Pr1 0.250 0.250 0.250
Al1 0.000 0.000 0.000
Sc1 0.500 0.500 0.500
Pr2 0.750 0.750 0.750

Least stable: two

## one
The following is a PBE calculation of PrScAl after structural relaxation, from Alexandria via LeMat-Bulk.

Properties
space-group type	R-3m (166)

Cell: 4.905 4.905 8.092 Å, 72.36 72.36 60.00°
Fractional positions:
Pr1 0.209 0.209 0.372
Sc1 0.637 0.637 0.089
Pr2 0.791 0.791 0.628
Al1 0.942 0.942 0.175
Al2 0.058 0.058 0.825
Sc2 0.363 0.363 0.911

## two
The following is a PBE calculation of PrScAl after structural relaxation, from Alexandria via LeMat-Bulk.

Properties
space-group type	P3m1 (156)

Cell: 3.121 5.138 5.138 Å, 120.00 90.00 90.00°
Fractional positions:
Sc1 0.165 0.000 0.000
Al1 0.667 0.667 0.333
Pr1 0.168 0.333 0.667

Least stable: two

## one
The following is a PBE calculation of Pr2AlSe after structural relaxation, from Alexandria via LeMat-Bulk.

Properties
space-group type	R-3m (166)

Cell: 4.150 4.150 8.138 Å, 75.23 75.23 60.00°
Fractional positions:
Al1 0.000 0.000 0.000
Pr1 0.246 0.246 0.263
Pr2 0.754 0.754 0.737
Se1 0.500 0.500 0.500

## two
The following is a PBE calculation of Pr2AlSe after structural relaxation, from Alexandria via LeMat-Bulk.

Properties
space-group type	Cmcm (63)

Cell: 4.245 4.446 12.137 Å, 100.55 90.00 90.00°
Fractional positions:
Pr1 0.750 0.682 0.365
Al1 0.750 0.536 0.072
Se1 0.750 0.808 0.615
Pr2 0.250 0.068 0.136
Pr3 0.750 0.932 0.864
Al2 0.250 0.464 0.928
Pr4 0.250 0.318 0.635
Se2 0.250 0.192 0.385

## three
The following is a PBE calculation of Pr2AlSe after structural relaxation, from Alexandria via LeMat-Bulk.

Properties
space-group type	R3m (160)

Cell: 4.062 4.062 8.568 Å, 76.29 76.29 60.00°
Fractional positions:
Al1 0.499 0.499 0.503
Pr1 0.258 0.258 0.227
Pr2 0.076 0.076 0.773
Se1 0.668 0.668 0.997

Least stable: three

## one
The following is a PBE calculation of Pr3Al2Si3 after structural relaxation, from Alexandria via LeMat-Bulk.

Properties
space-group type	Cmcm (63)

Cell: 4.239 6.003 15.555 Å, 90.00 90.00 110.67°
Fractional positions:
Pr1 0.552 0.104 0.250
Si1 0.428 0.856 0.555
Pr2 0.147 0.294 0.592
Pr3 0.448 0.896 0.750
Si2 0.572 0.144 0.445
Si3 0.276 0.551 0.250
Pr4 0.853 0.706 0.408
Si4 0.724 0.449 0.750
Si5 0.572 0.144 0.055
Si6 0.428 0.856 0.945
Pr5 0.147 0.294 0.908
Pr6 0.853 0.706 0.092
Al1 0.858 0.717 0.620
Al2 0.142 0.283 0.120
Al3 0.142 0.283 0.380
Al4 0.858 0.717 0.880

## two
The following is a PBE calculation of Pr3Al2Si3 after structural relaxation, from Alexandria via LeMat-Bulk.

Properties
space-group type	Cmcm (63)

Cell: 4.228 6.106 14.762 Å, 90.00 90.00 110.26°
Fractional positions:
Si1 0.622 0.244 0.458
Si2 0.651 0.301 0.750
Si3 0.349 0.699 0.250
Pr1 0.358 0.717 0.750
Pr2 0.936 0.872 0.113
Al1 0.225 0.450 0.098
Al2 0.225 0.450 0.402
Pr3 0.064 0.128 0.887
Pr4 0.642 0.283 0.250
Pr5 0.064 0.128 0.613
Si4 0.378 0.756 0.958
Al3 0.775 0.550 0.902
Pr6 0.936 0.872 0.387
Al4 0.775 0.550 0.598
Si5 0.378 0.756 0.542
Si6 0.622 0.244 0.042

Least stable: two

## one
The following is a PBE calculation of PrSm4Al2 after structural relaxation, from Alexandria via LeMat-Bulk.

Properties
space-group type	I4/mmm (139)

Cell: 5.809 5.809 7.572 Å, 112.56 112.56 90.00°
Fractional positions:
Al1 0.613 0.613 0.226
Sm1 0.250 0.750 0.500
Sm2 0.500 0.000 0.000
Al2 0.387 0.387 0.774
Sm3 0.750 0.250 0.500
Pr1 0.000 0.000 0.000
Sm4 0.000 0.500 0.000

## two
The following is a PBE calculation of PrSm4Al2 after structural relaxation, from Alexandria via LeMat-Bulk.

Properties
space-group type	R-3m (166)

Cell: 5.413 5.413 8.629 Å, 71.72 71.72 60.00°
Fractional positions:
Sm1 0.584 0.584 0.249
Sm2 0.416 0.416 0.751
Sm3 0.154 0.154 0.539
Al1 0.281 0.281 0.157
Pr1 0.000 0.000 0.000
Al2 0.719 0.719 0.843
Sm4 0.846 0.846 0.461

Least stable: one

## one
The following is a PBE calculation of Pr6SmAl after structural relaxation, from Alexandria via LeMat-Bulk.

Properties
space-group type	P4/mmm (123)

Cell: 5.033 5.033 10.390 Å, 90.00 90.00 90.00°
Fractional positions:
Pr1 0.500 0.500 0.500
Pr2 0.000 0.500 0.737
Sm1 0.000 0.000 0.000
Pr3 0.500 0.000 0.737
Pr4 0.500 0.500 0.000
Pr5 0.000 0.500 0.263
Al1 0.000 0.000 0.500
Pr6 0.500 0.000 0.263

## two
The following is a PBE calculation of Pr6SmAl after structural relaxation, from Alexandria via LeMat-Bulk.

Properties
space-group type	P-1 (2)

Cell: 9.552 8.828 6.510 Å, 47.22 42.77 57.18°
Fractional positions:
Pr1 0.436 0.764 0.839
Pr2 0.961 0.563 0.239
Pr3 0.764 0.962 0.710
Pr4 0.564 0.236 0.161
Pr5 0.039 0.437 0.761
Al1 0.000 0.000 0.000
Pr6 0.236 0.038 0.290
Sm1 0.500 0.500 0.500

Least stable: two

## one
The following is a PBE calculation of PrSm3Al after structural relaxation, from Alexandria via LeMat-Bulk.

Properties
space-group type	C2/c (15)

Cell: 6.955 10.275 10.275 Å, 61.71 82.11 82.11°
Fractional positions:
Sm1 0.908 0.999 0.338
Sm2 0.894 0.684 0.692
Al1 0.821 0.280 0.579
Sm3 0.919 0.327 0.988
Sm4 0.081 0.673 0.012
Sm5 0.606 0.308 0.316
Sm6 0.394 0.692 0.684
Al2 0.679 0.421 0.720
Pr1 0.750 0.041 0.959
Pr2 0.750 0.641 0.359
Sm7 0.408 0.338 0.999
Pr3 0.250 0.959 0.041
Sm8 0.106 0.316 0.308
Sm9 0.419 0.988 0.327
Pr4 0.250 0.359 0.641
Sm10 0.092 0.001 0.662
Al3 0.179 0.720 0.421
Sm11 0.592 0.662 0.001
Al4 0.321 0.579 0.280
Sm12 0.581 0.012 0.673

## two
The following is a PBE calculation of PrSm3Al after structural relaxation, from Alexandria via LeMat-Bulk.

Properties
space-group type	P-1 (2)

Cell: 3.765 8.735 9.902 Å, 103.72 100.96 90.00°
Fractional positions:
Sm1 0.613 0.925 0.483
Pr1 0.818 0.067 0.891
Sm2 0.414 0.819 0.087
Sm3 0.416 0.405 0.089
Sm4 0.218 0.300 0.693
Pr2 0.013 0.157 0.284
Sm5 0.231 0.727 0.719
Sm6 0.600 0.497 0.457
Al1 0.817 0.551 0.891
Al2 0.013 0.674 0.284

Least stable: one